Below is a relaxed structure of La2FeO5, with properties calculated at the PBE with a Hubbard U level.

Results
Density in g cm⁻³: 5.53
Electronic total energy in eV/atom: -7.651
Magnetic moment in μB/atom: 0.496
DOS at the Fermi energy in states/eV/cell: 17.1
Volume in Å³/atom: 15.5

Structure (CIF):
```
data_La2FeO5
_chemical_formula_sum 'La8 Fe4 O20'
_space_group_name_H-M_alt 'P n m a'
_space_group_IT_number 62
_cell_length_a 11.056
_cell_length_b 3.948
_cell_length_c 11.383
_cell_angle_alpha 90.00
_cell_angle_beta 90.00
_cell_angle_gamma 90.00
loop_
_space_group_symop_operation_xyz
'x,y,z'
'-x,-y,-z'
'-x+1/2,-y,z+1/2'
'x+1/2,y,-z+1/2'
'x+1/2,-y+1/2,-z+1/2'
'-x+1/2,y+1/2,z+1/2'
'-x,y+1/2,-z'
'x,-y+1/2,z'
loop_
_atom_site_label
_atom_site_fract_x
_atom_site_fract_y
_atom_site_fract_z
La1 0.084 0.250 0.214
La2 0.136 0.250 0.565
Fe1 0.202 0.250 0.871
O1 0.013 0.750 0.599
O2 0.044 0.250 0.814
O3 0.213 0.750 0.228
O4 0.218 0.250 0.033
O5 0.247 0.750 0.875
```